Entry 1:
CaB2H6: relaxed, PBE-GGA.

It has space group Fm-3m (No. 225), with a = 6.490 Å, b = 6.490 Å, c = 6.490 Å, α = 90.00°, β = 90.00° and γ = 90.00°. The asymmetric unit holds Ca at (0.000, 0.000, 0.000), B at (0.250, 0.250, 0.250) and H at (0.000, 0.000, 0.356).

Its mass density is 1.65 g/cm³. As for the density of states at the Fermi level: 0.3799 states/eV per atom. As for the volume: 7.6 Å³/atom. The calculation puts the total energy at -2.5857 eV/atom. The calculation puts the offset from the most stable computed form at 1238.0 meV per atom.

Entry 2:
RbTc2Rh: relaxed, PBE-GGA.

It has space group I-42d (No. 122), with a = 7.675 Å, b = 7.675 Å, c = 5.728 Å, α = 90.00°, β = 90.00° and γ = 90.00°. The asymmetric unit holds Rb at (0.000, 0.000, 0.000), Tc at (0.183, 0.250, 0.625) and Rh at (0.000, 0.000, 0.500).

Its mass density is 7.57 g/cm³. As for the density of states at the Fermi level: 1.2346 states/eV per atom. As for the formation enthalpy at 0 K: 1.670 eV/atom. As for the volume: 21.1 Å³/atom. The calculation puts the total energy at -5.5928 eV/atom. The calculation puts the offset from the most stable computed form at 0.0 meV per atom.

Entry 3:
OsRuPt: relaxed, PBE-GGA.

It has space group C2/m (No. 12), with a = 6.623 Å, b = 3.819 Å, c = 8.574 Å, α = 90.00°, β = 104.93° and γ = 90.00°. The asymmetric unit holds Os at (0.091, 0.000, 0.271), Ru at (0.195, 0.000, 0.588) and Pt at (0.199, 0.500, 0.097).

Its mass density is 15.42 g/cm³. As for the density of states at the Fermi level: 0.8355 states/eV per atom. As for the formation enthalpy at 0 K: 0.608 eV/atom. As for the volume: 17.5 Å³/atom. The calculation puts the total energy at -8.2409 eV/atom. The calculation puts the offset from the most stable computed form at 591.1 meV per atom.

Entry 4:
KP2: relaxed, PBE-GGA.

It has space group I4_1/amd (No. 141, origin choice 2), with a = 4.832 Å, b = 4.832 Å, c = 12.721 Å, α = 90.00°, β = 90.00° and γ = 90.00°. The asymmetric unit holds K at (0.000, 0.250, 0.375) and P at (0.000, 0.250, 0.793).

Its mass density is 2.26 g/cm³. As for the density of states at the Fermi level: 0.2719 states/eV per atom. As for the formation enthalpy at 0 K: -0.204 eV/atom. As for the volume: 24.8 Å³/atom. The calculation puts the total energy at -4.1764 eV/atom.

Entry 5:
Y6Ho4Pu: relaxed, PBE-GGA.

It has space group P4/mnc (No. 128), with a = 8.712 Å, b = 8.712 Å, c = 9.113 Å, α = 90.00°, β = 90.00° and γ = 90.00°. The asymmetric unit holds Y at (0.000, 0.000, 0.172), Y at (0.153, 0.347, 0.000), Ho at (0.145, 0.645, 0.250) and Pu at (0.000, 0.000, 0.500).

Its mass density is 6.90 g/cm³. As for the density of states at the Fermi level: 2.2461 states/eV per atom. As for the formation enthalpy at 0 K: 0.182 eV/atom. As for the volume: 31.4 Å³/atom. The calculation puts the total energy at -6.3111 eV/atom.

Entry 6:
Sr2ScRh: relaxed, PBE-GGA.

It has space group I-4m2 (No. 119), with a = 5.334 Å, b = 5.334 Å, c = 7.479 Å, α = 90.00°, β = 90.00° and γ = 90.00°. The asymmetric unit holds Sr at (0.000, 0.000, 0.000), Sr at (0.000, 0.500, 0.250), Sc at (0.000, 0.500, 0.750) and Rh at (0.000, 0.000, 0.500).

Its mass density is 5.04 g/cm³. As for the density of states at the Fermi level: 1.1815 states/eV per atom. As for the formation enthalpy at 0 K: 0.209 eV/atom. As for the volume: 26.6 Å³/atom. The calculation puts the total energy at -4.0528 eV/atom. The calculation puts the offset from the most stable computed form at 473.8 meV per atom.

Entry 7:
ZnFeOs2: relaxed, PBE-GGA.

It has space group P4mm (No. 99), with a = 2.738 Å, b = 2.738 Å, c = 7.402 Å, α = 90.00°, β = 90.00° and γ = 90.00°. The asymmetric unit holds Zn at (0.000, 0.000, 0.000), Fe at (0.500, 0.500, 0.243), Os at (0.000, 0.000, 0.499) and Os at (0.500, 0.500, 0.738).

Its mass density is 15.01 g/cm³. As for the density of states at the Fermi level: 0.7421 states/eV per atom. As for the formation enthalpy at 0 K: 0.142 eV/atom. As for the volume: 13.9 Å³/atom. The calculation puts the total energy at -7.9072 eV/atom.

Entry 8:
TmThCd4: relaxed, PBE-GGA.

It has space group F-43m (No. 216), with a = 8.392 Å, b = 8.392 Å, c = 8.392 Å, α = 90.00°, β = 90.00° and γ = 90.00°. The asymmetric unit holds Tm at (0.000, 0.000, 0.000), Th at (0.250, 0.250, 0.250) and Cd at (0.125, 0.125, 0.625).

Its mass density is 9.56 g/cm³. As for the density of states at the Fermi level: 1.0660 states/eV per atom. As for the formation enthalpy at 0 K: -0.155 eV/atom. As for the volume: 24.6 Å³/atom. The calculation puts the total energy at -2.7470 eV/atom. The calculation puts the offset from the most stable computed form at 72.3 meV per atom.

Question: Which of these has the lowest mass density?
Answer: CaB2H6